The following is a PBE+U calculation of crystalline ScCrF3 at its relaxed geometry, from Alexandria via LeMat-Bulk.

Values from the calculation:
Raw total energy ... -6.404 eV per atom
Offset from the most stable computed form ... 0.0 meV/atom
Mass density ... 3.4 g/cm³
Space-group type ... Pm-3m, No. 221

Geometry as CIF:
```
data_ScCrF3
_chemical_formula_sum 'Sc1 Cr1 F3'
_symmetry_space_group_name_H-M 'P 1'
_symmetry_Int_Tables_number 1
_symmetry_space_group_name_Hall 'P 1'
_cell_length_a 4.225
_cell_length_b 4.225
_cell_length_c 4.225
_cell_angle_alpha 90.00
_cell_angle_beta 90.00
_cell_angle_gamma 90.00
loop_
_atom_site_label
_atom_site_type_symbol
_atom_site_fract_x
_atom_site_fract_y
_atom_site_fract_z
Sc1 Sc 0.000 0.000 0.000
Cr1 Cr 0.500 0.500 0.500
F1 F 0.000 0.000 0.500
F2 F 0.000 0.500 0.000
F3 F 0.500 0.000 0.000
```